Computed, not measured: LiPaCrN3 after structural relaxation at the GGA-PBE level of DFT.

## Properties
The calculation puts the total energy at -103.90 eV per cell. The total moment comes out at 0.0 μB/f.u.

```
data_LiPaCrN3
_space_group_name_H-M_alt 'P 1 21/m 1'
_space_group_IT_number 11
_cell_length_a 5.492
_cell_length_b 3.254
_cell_length_c 7.678
_cell_angle_alpha 90.00
_cell_angle_beta 107.27
_cell_angle_gamma 90.00
loop_
_space_group_symop_operation_xyz
'x,y,z'
'-x,-y,-z'
'-x,y+1/2,-z'
'x,-y+1/2,z'
loop_
_atom_site_label
_atom_site_type_symbol
_atom_site_fract_x
_atom_site_fract_y
_atom_site_fract_z
Li1 Li 0.101 0.250 0.412
Pa1 Pa 0.476 0.750 0.764
Cr1 Cr 0.022 0.250 0.885
N1 N 0.190 0.250 0.683
N2 N 0.241 0.750 0.985
N3 N 0.291 0.750 0.328
```



Computed, not measured: CsBa2PuBr8 after structural relaxation at the GGA-PBE level of DFT.

## Properties
The calculation puts the total energy at -54.83 eV per cell. The total moment comes out at 5.0 μB/f.u.

```
data_CsBa2PuBr8
_space_group_name_H-M_alt 'P 1 2/m 1'
_space_group_IT_number 10
_cell_length_a 7.237
_cell_length_b 10.113
_cell_length_c 7.371
_cell_angle_alpha 90.00
_cell_angle_beta 90.25
_cell_angle_gamma 90.00
loop_
_space_group_symop_operation_xyz
'x,y,z'
'-x,-y,-z'
'-x,y,-z'
'x,-y,z'
loop_
_atom_site_label
_atom_site_type_symbol
_atom_site_fract_x
_atom_site_fract_y
_atom_site_fract_z
Cs1 Cs 0.000 0.000 0.000
Ba1 Ba 0.500 0.252 0.500
Pu1 Pu 0.000 0.500 0.000
Br1 Br 0.143 0.299 0.763
Br2 Br 0.326 0.500 0.243
Br3 Br 0.405 0.000 0.258
```



Computed, not measured: CoAs2Rh after structural relaxation at the GGA-PBE level of DFT.

## Properties
Its formation energy is -0.10 eV/atom. As for the polymorph energy (0 for the lowest one): 231 meV/atom. The calculation puts the total energy at -24.17 eV per cell. The total moment comes out at 0.4 μB/f.u.

```
data_CoAs2Rh
_space_group_name_H-M_alt 'P 4 m m'
_space_group_IT_number 99
_cell_length_a 2.942
_cell_length_b 2.942
_cell_length_c 7.579
_cell_angle_alpha 90.00
_cell_angle_beta 90.00
_cell_angle_gamma 90.00
loop_
_space_group_symop_operation_xyz
'x,y,z'
'-y,x,z'
'-x,-y,z'
'y,-x,z'
'-x,y,z'
'y,x,z'
'x,-y,z'
'-y,-x,z'
loop_
_atom_site_label
_atom_site_type_symbol
_atom_site_fract_x
_atom_site_fract_y
_atom_site_fract_z
Co1 Co 0.000 0.000 0.000
As1 As 0.000 0.000 0.429
As2 As 0.500 0.500 0.836
Rh1 Rh 0.500 0.500 0.239
```



Computed, not measured: HfGa2W after structural relaxation at the GGA-PBE level of DFT.

## Properties
Its formation energy is 0.22 eV/atom. As for the polymorph energy (0 for the lowest one): 162 meV/atom. The calculation puts the total energy at -112.29 eV per cell. The total moment comes out at 0.0 μB/f.u.

```
data_HfGa2W
_space_group_name_H-M_alt 'I -4 2 d'
_space_group_IT_number 122
_space_group_name_Hall 'I -4 2bw'
_cell_length_a 7.175
_cell_length_b 7.175
_cell_length_c 5.655
_cell_angle_alpha 90.00
_cell_angle_beta 90.00
_cell_angle_gamma 90.00
loop_
_atom_site_label
_atom_site_type_symbol
_atom_site_fract_x
_atom_site_fract_y
_atom_site_fract_z
Hf1 Hf 0.000 0.000 0.000
Ga1 Ga 0.234 0.250 0.625
W1 W 0.000 0.000 0.500
```



Computed, not measured: CsPaCuO4 after structural relaxation at the GGA-PBE level of DFT.

## Properties
The calculation puts the total energy at -195.76 eV per cell. The total moment comes out at 1.0 μB/f.u.

```
data_CsPaCuO4
_space_group_name_H-M_alt 'I m m a'
_space_group_IT_number 74
_space_group_name_Hall '-I 2b 2'
_cell_length_a 6.167
_cell_length_b 7.036
_cell_length_c 11.841
_cell_angle_alpha 90.00
_cell_angle_beta 90.00
_cell_angle_gamma 90.00
loop_
_atom_site_label
_atom_site_type_symbol
_atom_site_fract_x
_atom_site_fract_y
_atom_site_fract_z
Cs1 Cs 0.000 0.250 0.181
Pa1 Pa 0.000 0.000 0.500
Cu1 Cu 0.250 0.250 0.750
O1 O 0.000 0.073 0.688
O2 O 0.205 0.250 0.487
```



Computed, not measured: Al4GaTc after structural relaxation at the GGA-PBE level of DFT.

## Properties
Its formation energy is -0.07 eV/atom. As for the polymorph energy (0 for the lowest one): 139 meV/atom. The calculation puts the total energy at -115.17 eV per cell. The total moment comes out at 0.0 μB/f.u.

```
data_Al4GaTc
_space_group_name_H-M_alt 'C 1 2/c 1'
_space_group_IT_number 15
_cell_length_a 7.606
_cell_length_b 11.160
_cell_length_c 5.172
_cell_angle_alpha 90.00
_cell_angle_beta 111.01
_cell_angle_gamma 90.00
loop_
_space_group_symop_operation_xyz
'x,y,z'
'-x,-y,-z'
'-x,y,-z+1/2'
'x,-y,z+1/2'
'x+1/2,y+1/2,z'
'-x+1/2,-y+1/2,-z'
'-x+1/2,y+1/2,-z+1/2'
'x+1/2,-y+1/2,z+1/2'
loop_
_atom_site_label
_atom_site_type_symbol
_atom_site_fract_x
_atom_site_fract_y
_atom_site_fract_z
Al1 Al 0.121 0.186 0.070
Al2 Al 0.208 0.405 0.353
Ga1 Ga 0.000 0.384 0.750
Tc1 Tc 0.000 0.002 0.250
```



Computed, not measured: NdSmMg2 after structural relaxation at the GGA-PBE level of DFT.

## Properties
Its formation energy is -0.11 eV/atom. As for the polymorph energy (0 for the lowest one): 0 meV/atom. The calculation puts the total energy at -52.50 eV per cell. The total moment comes out at 0.0 μB/f.u.

```
data_NdSmMg2
_space_group_name_H-M_alt 'F m -3 m'
_space_group_IT_number 225
_space_group_name_Hall '-F 4 2 3'
_cell_length_a 7.731
_cell_length_b 7.731
_cell_length_c 7.731
_cell_angle_alpha 90.00
_cell_angle_beta 90.00
_cell_angle_gamma 90.00
loop_
_atom_site_label
_atom_site_type_symbol
_atom_site_fract_x
_atom_site_fract_y
_atom_site_fract_z
Nd1 Nd 0.000 0.000 0.000
Sm1 Sm 0.000 0.000 0.500
Mg1 Mg 0.250 0.250 0.250
```



Computed, not measured: YHBrF after structural relaxation at the GGA-PBE level of DFT.

## Properties
The calculation puts the total energy at -43.11 eV per cell. The total moment comes out at 0.0 μB/f.u.

```
data_YHBrF
_space_group_name_H-M_alt 'I m m 2'
_space_group_IT_number 44
_cell_length_a 3.774
_cell_length_b 3.832
_cell_length_c 11.437
_cell_angle_alpha 90.00
_cell_angle_beta 90.00
_cell_angle_gamma 90.00
loop_
_space_group_symop_operation_xyz
'x,y,z'
'-x,-y,z'
'-x,y,z'
'x,-y,z'
'x+1/2,y+1/2,z+1/2'
'-x+1/2,-y+1/2,z+1/2'
'-x+1/2,y+1/2,z+1/2'
'x+1/2,-y+1/2,z+1/2'
loop_
_atom_site_label
_atom_site_type_symbol
_atom_site_fract_x
_atom_site_fract_y
_atom_site_fract_z
Y1 Y 0.000 0.000 0.000
H1 H 0.000 0.500 0.426
Br1 Br 0.000 0.000 0.645
F1 F 0.000 0.500 0.911
```